(1)
The following is a PBE calculation of NdSiB after structural relaxation, from the Alexandria database.

a b c (Å): 3.6063 3.6063 4.3903
angles (deg): 90.00 90.00 120.00
Element x y z (fractional)
Nd 0.0000 0.0000 0.0000
Si 0.6667 0.3333 0.5000
B 0.3333 0.6667 0.5000

Results
- Calculated total energy: -6.22 eV per atom
- DOS at the Fermi energy: 0.29 states/eV/f.u.
- Excess energy over the best structure of this formula in the dataset: 0.000 eV/atom
- Size of the total moment: 0.000 Bohr magnetons per cell
- Formation energy (no corrections): -0.60 eV per atom

=====

(2)
The following is a PBE calculation of Ce2AsSe2 after structural relaxation, from the Alexandria database.

a b c (Å): 6.0398 4.4817 10.5659
angles (deg): 90.00 98.59 90.00
Element x y z (fractional)
Ce 0.2017 0.2500 0.4424
Ce 0.2190 0.7500 0.8787
Ce 0.7810 0.2500 0.1213
Ce 0.7983 0.7500 0.5576
As 0.0165 0.7500 0.2864
As 0.9835 0.2500 0.7136
Se 0.2726 0.2500 0.0602
Se 0.3484 0.7500 0.6144
Se 0.6516 0.2500 0.3856
Se 0.7274 0.7500 0.9398

Results
- Calculated total energy: -6.14 eV per atom
- DOS at the Fermi energy: 8.88 states/eV/f.u.
- Size of the total moment: 2.074 Bohr magnetons per cell
- Formation energy (no corrections): -1.45 eV per atom

=====

(3)
The following is a PBE calculation of Pr2ThHg3 after structural relaxation, from the Alexandria database.

a b c (Å): 5.4460 5.4460 6.6581
angles (deg): 90.00 90.00 120.00
Element x y z (fractional)
Pr 0.3333 0.6667 0.1694
Pr 0.6667 0.3333 0.8306
Th 0.0000 0.0000 0.5000
Hg 0.0000 0.0000 0.0000
Hg 0.3333 0.6667 0.6651
Hg 0.6667 0.3333 0.3349

Results
- Calculated total energy: -3.34 eV per atom
- DOS at the Fermi energy: 9.22 states/eV/f.u.
- Formation enthalpy at 0 K: -34.9 kJ/mol of atoms
- Excess energy over the best structure of this formula in the dataset: 0.011 eV/atom
- Size of the total moment: 0.002 Bohr magnetons per cell

=====

(4)
The following is a PBE calculation of KNp2AsO8 after structural relaxation, from the Alexandria database.

a b c (Å): 5.0734 5.0734 7.0561
angles (deg): 91.27 91.27 86.56
Element x y z (fractional)
K 0.0000 0.0000 0.0000
Np 0.4928 0.4928 0.7436
Np 0.5072 0.5072 0.2564
As 0.0000 0.0000 0.5000
O 0.2175 0.7825 0.7116
O 0.2175 0.7825 0.2884
O 0.3110 0.3110 0.5114
O 0.3385 0.3385 0.0319
O 0.6615 0.6615 0.9681
O 0.6890 0.6890 0.4886
O 0.7825 0.2175 0.7116
O 0.7825 0.2175 0.2884

Results
- Calculated total energy: -8.11 eV per atom
- DOS at the Fermi energy: 4.52 states/eV/f.u.
- Size of the total moment: 2.000 Bohr magnetons per cell
- Formation energy (no corrections): -2.17 eV per atom

=====

(5)
The following is a PBE calculation of Cr2MoP after structural relaxation, from the Alexandria database.

a b c (Å): 2.7967 4.0854 4.6436
angles (deg): 90.00 104.96 90.00
Element x y z (fractional)
Cr 0.0000 0.0000 0.0000
Cr 0.3323 0.5000 0.8004
Mo 0.7971 0.5000 0.2995
P 0.3275 0.0000 0.5462

Results
- Calculated total energy: -8.93 eV per atom
- DOS at the Fermi energy: 3.07 states/eV/f.u.
- Formation enthalpy at 0 K: -5.6 kJ/mol of atoms
- Size of the total moment: 0.000 Bohr magnetons per cell

=====

(6)
The following is a PBE calculation of VInSi after structural relaxation, from the Alexandria database.

a b c (Å): 3.0617 3.2668 11.5290
angles (deg): 90.00 96.98 90.00
Element x y z (fractional)
V 0.0000 0.0000 0.0000
V 0.4379 0.5000 0.8715
In 0.6180 0.0000 0.3029
In 0.8058 0.5000 0.5684
Si 0.5435 0.5000 0.0947
Si 0.8944 0.0000 0.7767

Results
- Calculated total energy: -5.83 eV per atom
- DOS at the Fermi energy: 1.55 states/eV/f.u.
- Excess energy over the best structure of this formula in the dataset: 0.020 eV/atom
- Size of the total moment: 0.000 Bohr magnetons per cell
- Formation energy (no corrections): -0.07 eV per atom

=====

(7)
The following is a PBE calculation of TlSiTe after structural relaxation, from the Alexandria database.

a b c (Å): 7.8564 7.4959 3.6020
angles (deg): 82.08 70.91 27.01
Element x y z (fractional)
Tl 0.0000 0.0000 0.0000
Si 0.6667 0.6667 0.3333
Te 0.2925 0.2925 0.7075

Results
- Calculated total energy: -3.29 eV per atom
- DOS at the Fermi energy: 1.07 states/eV/f.u.
- Excess energy over the best structure of this formula in the dataset: 0.187 eV/atom
- Size of the total moment: 0.000 Bohr magnetons per cell
- Formation energy (no corrections): 0.36 eV per atom

=====

(8)
The following is a PBE calculation of Cd7SnHg3 after structural relaxation, from the Alexandria database.

a b c (Å): 7.6201 7.6201 5.8083
angles (deg): 111.57 111.57 93.79
Element x y z (fractional)
Cd 0.0000 0.0000 0.0000
Cd 0.0919 0.5683 0.3298
Cd 0.3305 0.3305 0.8886
Cd 0.4317 0.9081 0.6702
Cd 0.5683 0.0919 0.3298
Cd 0.6695 0.6695 0.1114
Cd 0.9081 0.4317 0.6702
Sn 0.0000 0.0000 0.5000
Hg 0.2606 0.7394 0.0000
Hg 0.5000 0.5000 0.5000
Hg 0.7394 0.2606 0.0000

Results
- Calculated total energy: -0.97 eV per atom
- DOS at the Fermi energy: 3.40 states/eV/f.u.
- Formation enthalpy at 0 K: 5.9 kJ/mol of atoms
- Excess energy over the best structure of this formula in the dataset: 0.004 eV/atom
- Size of the total moment: 0.000 Bohr magnetons per cell

=====

(9)
The following is a PBE calculation of LuCoSbRu after structural relaxation, from the Alexandria database.

a b c (Å): 4.5574 4.5574 4.5574
angles (deg): 60.00 60.00 60.00
Element x y z (fractional)
Lu 0.0000 0.0000 0.0000
Co 0.7500 0.7500 0.7500
Sb 0.5000 0.5000 0.5000
Ru 0.2500 0.2500 0.2500

Results
- Calculated total energy: -6.62 eV per atom
- DOS at the Fermi energy: 1.01 states/eV/f.u.
- Size of the total moment: 1.039 Bohr magnetons per cell
- Formation energy (no corrections): -0.36 eV per atom

=====

(10)
The following is a PBE calculation of LaCeCu after structural relaxation, from the Alexandria database.

a b c (Å): 4.6918 4.6918 3.8419
angles (deg): 90.00 90.00 120.00
Element x y z (fractional)
La 0.0000 0.0000 0.0000
Ce 0.3333 0.6667 0.6567
Cu 0.6667 0.3333 0.3754

Results
- Calculated total energy: -4.95 eV per atom
- DOS at the Fermi energy: 4.72 states/eV/f.u.
- Formation enthalpy at 0 K: 3.8 kJ/mol of atoms
- Excess energy over the best structure of this formula in the dataset: 0.082 eV/atom
- Size of the total moment: 0.000 Bohr magnetons per cell

=====

(11)
The following is a PBE calculation of ZnCo2Os after structural relaxation, from the Alexandria database.

a b c (Å): 5.3122 5.3122 5.3122
angles (deg): 103.25 103.25 122.79
Element x y z (fractional)
Zn 0.0000 0.0000 0.0000
Zn 0.7500 0.2500 0.5000
Co 0.1414 0.6250 0.0164
Co 0.3750 0.3914 0.5164
Co 0.6086 0.1250 0.9836
Co 0.8750 0.8586 0.4836
Os 0.2500 0.7500 0.5000
Os 0.5000 0.5000 0.0000

Results
- Calculated total energy: -5.97 eV per atom
- DOS at the Fermi energy: 4.39 states/eV/f.u.
- Formation enthalpy at 0 K: 68.0 kJ/mol of atoms
- Size of the total moment: 6.045 Bohr magnetons per cell

=====

(12)
The following is a PBE calculation of Sc3Fe3B8 after structural relaxation, from the Alexandria database.

a b c (Å): 7.0519 7.0519 7.0519
angles (deg): 154.29 115.20 70.93
Element x y z (fractional)
Sc 0.0000 0.0000 0.0000
Sc 0.2930 0.2930 0.0000
Sc 0.7070 0.7070 0.0000
Fe 0.2782 0.5000 0.7782
Fe 0.5000 0.0000 0.5000
Fe 0.7218 0.5000 0.2218
B 0.0200 0.6482 0.3718
B 0.1191 0.8686 0.2505
B 0.2764 0.6482 0.6282
B 0.3819 0.1314 0.2505
B 0.6181 0.8686 0.7495
B 0.7236 0.3518 0.3718
B 0.8809 0.1314 0.7495
B 0.9800 0.3518 0.6282

Results
- Calculated total energy: -7.34 eV per atom
- DOS at the Fermi energy: 6.77 states/eV/f.u.
- Formation enthalpy at 0 K: -33.7 kJ/mol of atoms
- Size of the total moment: 4.474 Bohr magnetons per cell